(1)
Compound: Cs6RbHgO
Source: the Alexandria database
Functional: GGA-PBE
Structure: relaxed

abc: 9.5210 9.5210 9.0014
angles: 90.00 90.00 120.00
Space group P312 (No. 149)
Asymmetric unit:
1 Cs 0.0903 0.4046 0.1926
2 Rb 0.6667 0.3333 0.5000
3 Hg 0.0000 0.0000 0.0000
4 O 0.3333 0.6667 0.0000

Properties
Crystal system = trigonal
Density of states at the Fermi level = 7.96 states/eV per cell
Uncorrected energy = -0.11744 Ry/atom

***

(2)
Compound: HoPdRhPb
Source: the Alexandria database
Functional: GGA-PBE
Structure: relaxed

abc: 6.791 6.791 6.791
angles: 90.00 90.00 90.00
Space group F-43m (No. 216)
Asymmetric unit:
1 Ho 0.000 0.000 0.000
2 Pd 0.250 0.250 0.750
3 Rh 0.250 0.250 0.250
4 Pb 0.000 0.000 0.500

Properties
ΔE_f = -0.61 eV per atom
Crystal system = cubic
Density of states at the Fermi level = 11.93 states/eV per cell
Uncorrected energy = -0.42745 Ry/atom

***

(3)
Compound: Sm2EuDy
Source: the Alexandria database
Functional: GGA-PBE
Structure: relaxed

abc: 6.011 6.011 3.826
angles: 90.00 90.00 90.00
Space group P4/mmm (No. 123)
Asymmetric unit:
1 Sm 0.000 0.500 0.000
2 Eu 0.000 0.000 0.500
3 Dy 0.500 0.500 0.500

Properties
ΔE_f = 0.14 eV per atom
Crystal system = tetragonal
Density of states at the Fermi level = 7.09 states/eV per cell
Uncorrected energy = -0.43657 Ry/atom

***

(4)
Compound: VCuSiPd
Source: the Alexandria database
Functional: GGA-PBE
Structure: relaxed

abc: 5.998 5.998 5.998
angles: 90.00 90.00 90.00
Space group F-43m (No. 216)
Asymmetric unit:
1 V 0.000 0.000 0.000
2 Cu 0.250 0.250 0.250
3 Si 0.250 0.250 0.750
4 Pd 0.000 0.000 0.500

Properties
Crystal system = cubic
Density of states at the Fermi level = 11.19 states/eV per cell
Uncorrected energy = -0.45462 Ry/atom

***

(5)
Compound: TiBe2Sb
Source: the Alexandria database
Functional: GGA-PBE
Structure: relaxed

abc: 6.959 6.959 5.267
angles: 90.00 90.00 90.00
Space group I-42d (No. 122)
Asymmetric unit:
1 Ti 0.000 0.000 0.000
2 Be 0.236 0.250 0.625
3 Sb 0.000 0.000 0.500

Properties
Crystal system = tetragonal
Density of states at the Fermi level = 9.79 states/eV per cell
Uncorrected energy = -0.32670 Ry/atom

***

(6)
Compound: Pu3ZrPd12
Source: the Alexandria database
Functional: GGA-PBE
Structure: relaxed

abc: 4.123 4.123 16.477
angles: 90.00 90.00 90.00
Space group P4/mmm (No. 123)
Asymmetric unit:
1 Pu 0.000 0.000 0.000
2 Pu 0.000 0.000 0.252
3 Zr 0.000 0.000 0.500
4 Pd 0.000 0.500 0.126
5 Pd 0.000 0.500 0.382
6 Pd 0.500 0.500 0.000
7 Pd 0.500 0.500 0.255
8 Pd 0.500 0.500 0.500

Properties
ΔE_f = -0.62 eV per atom
Crystal system = tetragonal
Density of states at the Fermi level = 50.44 states/eV per cell
Uncorrected energy = -0.56882 Ry/atom